Below is a relaxed AcPr5SmEr2 crystal, with properties calculated at the GGA-PBE level.

Calculated values
ΔH_f (0 K) = 0.14 eV per atom
space group = No. 36

Cell lengths 12.5663, 12.5663, 9.5978 Å; angles 90.00, 90.00, 154.13 degrees
Fractional coordinates of all 18 atoms:
Ac: 0.1027 0.8973 0.5000
Ac: 0.8973 0.1027 0.0000
Pr: 0.0247 0.9753 0.1702
Pr: 0.1056 0.8944 0.8917
Pr: 0.1883 0.8117 0.1999
Pr: 0.2406 0.7594 0.5691
Pr: 0.4917 0.5083 0.3873
Pr: 0.5083 0.4917 0.8873
Pr: 0.7594 0.2406 0.0691
Pr: 0.8117 0.1883 0.6999
Pr: 0.8944 0.1056 0.3917
Pr: 0.9753 0.0247 0.6702
Sm: 0.2657 0.7343 0.8923
Sm: 0.7343 0.2657 0.3923
Er: 0.3262 0.6738 0.2543
Er: 0.3880 0.6120 0.6345
Er: 0.6120 0.3880 0.1345
Er: 0.6738 0.3262 0.7543